Compound: Li2MnIn2O6
Source: Alexandria
Functional: PBE+U
Structure: relaxed

a = 5.479 Å, b = 5.479 Å, c = 5.214 Å
α = 96.71°, β = 96.71°, γ = 120.49°
Element x y z (fractional)
1 Li 0.133 0.867 0.000
2 Li 0.867 0.133 0.000
3 Mn 0.000 0.000 0.500
4 In 0.336 0.664 0.500
5 In 0.664 0.336 0.500
6 O 0.041 0.347 0.715
7 O 0.242 0.242 0.281
8 O 0.347 0.041 0.715
9 O 0.653 0.959 0.285
10 O 0.758 0.758 0.719
11 O 0.959 0.653 0.285

Calculated values
space-group type = C2/m, No. 12
raw total energy = -5.83 eV/atom
total moment = 3.0 μB per formula unit